Here is Co2Ag after structural relaxation from OQMD. Energies are from GGA-PBE.

abc: 7.954 7.954 7.954
angles: 60.00 60.00 60.00
Atoms (fractional coordinates):
Co 0.000 0.000 0.000
Co 0.000 0.000 0.500
Co 0.000 0.500 0.000
Co 0.500 0.000 0.000
Ag 0.125 0.125 0.125
Ag 0.875 0.875 0.875

Computed properties:
Total DFT energy (no corrections) ... -2.972 eV per atom
Space-group type ... Fd-3m